(1)
# Zn2SiRu PBE-GGA relaxed
# Uncorrected energy in eV per atom: -4.000
data_Zn2SiRu
_symmetry_space_group_name_H-M 'I -4 2 d'
_symmetry_Int_Tables_number 122
_symmetry_space_group_name_Hall 'I -4 2bw'
_cell_length_a 7.133
_cell_length_b 7.133
_cell_length_c 4.833
_cell_angle_alpha 90.00
_cell_angle_beta 90.00
_cell_angle_gamma 90.00
loop_
_atom_site_label
_atom_site_fract_x
_atom_site_fract_y
_atom_site_fract_z
Zn1 0.243 0.750 0.125
Si1 0.000 0.000 0.000
Ru1 0.000 0.000 0.500


(2)
# ZnSi2Ru PBE-GGA relaxed
# Uncorrected energy in eV per atom: -5.276
data_ZnSi2Ru
_symmetry_space_group_name_H-M 'R 3 m'
_symmetry_Int_Tables_number 160
_symmetry_space_group_name_Hall 'R 3 -2"'
_cell_length_a 2.9651
_cell_length_b 2.9651
_cell_length_c 22.8610
_cell_angle_alpha 90.00
_cell_angle_beta 90.00
_cell_angle_gamma 120.00
loop_
_atom_site_label
_atom_site_fract_x
_atom_site_fract_y
_atom_site_fract_z
Zn1 0.0000 0.0000 0.0000
Si1 0.0000 0.0000 0.5016
Si2 0.0000 0.0000 0.7546
Ru1 0.0000 0.0000 0.2428


(3)
# ZnSiRu3 PBE-GGA relaxed
# Polymorph energy (0 for the lowest one) in eV/f.u.: 4.79
data_ZnSiRu3
_symmetry_space_group_name_H-M 'P m -3 m'
_symmetry_Int_Tables_number 221
_symmetry_space_group_name_Hall '-P 4 2 3'
_cell_length_a 4.456
_cell_length_b 4.456
_cell_length_c 4.456
_cell_angle_alpha 90.00
_cell_angle_beta 90.00
_cell_angle_gamma 90.00
loop_
_atom_site_label
_atom_site_fract_x
_atom_site_fract_y
_atom_site_fract_z
Zn1 0.000 0.000 0.000
Si1 0.500 0.500 0.500
Ru1 0.000 0.000 0.500


(4)
# ZnSiRu2 PBE-GGA relaxed
# Uncorrected energy in eV per atom: -6.532
data_ZnSiRu2
_symmetry_space_group_name_H-M 'C 1 m 1'
_symmetry_Int_Tables_number 8
_cell_length_a 9.191
_cell_length_b 2.862
_cell_length_c 4.322
_cell_angle_alpha 90.00
_cell_angle_beta 108.18
_cell_angle_gamma 90.00
loop_
_symmetry_equiv_pos_as_xyz
'x,y,z'
'x,-y,z'
'x+1/2,y+1/2,z'
'x+1/2,-y+1/2,z'
loop_
_atom_site_label
_atom_site_fract_x
_atom_site_fract_y
_atom_site_fract_z
Zn1 0.000 0.000 0.000
Si1 0.233 0.000 0.599
Ru1 0.247 0.500 0.102
Ru2 0.490 0.000 0.500


(5)
# ZnSi2Ru2 PBE-GGA relaxed
# Uncorrected energy in eV per atom: -6.565
data_ZnSi2Ru2
_symmetry_space_group_name_H-M 'P 4/m b m'
_symmetry_Int_Tables_number 127
_symmetry_space_group_name_Hall '-P 4 2ab'
_cell_length_a 6.920
_cell_length_b 6.920
_cell_length_c 2.901
_cell_angle_alpha 90.00
_cell_angle_beta 90.00
_cell_angle_gamma 90.00
loop_
_atom_site_label
_atom_site_fract_x
_atom_site_fract_y
_atom_site_fract_z
Zn1 0.000 0.000 0.000
Si1 0.145 0.355 0.500
Ru1 0.151 0.651 0.000


(6)
# ZnSiRu PBE-GGA relaxed
# Uncorrected energy in eV per atom: -5.613
data_ZnSiRu
_symmetry_space_group_name_H-M 'C m m m'
_symmetry_Int_Tables_number 65
_symmetry_space_group_name_Hall '-C 2 2'
_cell_length_a 4.453
_cell_length_b 8.134
_cell_length_c 4.424
_cell_angle_alpha 90.00
_cell_angle_beta 90.00
_cell_angle_gamma 90.00
loop_
_atom_site_label
_atom_site_fract_x
_atom_site_fract_y
_atom_site_fract_z
Zn1 0.000 0.170 0.000
Si1 0.000 0.340 0.500
Ru1 0.000 0.000 0.500
Ru2 0.000 0.500 0.000


(7)
# ZnSiRu2 PBE-GGA relaxed
# Uncorrected energy in eV per atom: -6.448
data_ZnSiRu2
_symmetry_space_group_name_H-M 'I m m m'
_symmetry_Int_Tables_number 71
_symmetry_space_group_name_Hall '-I 2 2'
_cell_length_a 2.932
_cell_length_b 4.621
_cell_length_c 8.212
_cell_angle_alpha 90.00
_cell_angle_beta 90.00
_cell_angle_gamma 90.00
loop_
_atom_site_label
_atom_site_fract_x
_atom_site_fract_y
_atom_site_fract_z
Zn1 0.000 0.000 0.000
Si1 0.000 0.000 0.500
Ru1 0.000 0.500 0.224


(8)
# ZnSi2Ru PBE-GGA relaxed
# Uncorrected energy in eV per atom: -5.161
data_ZnSi2Ru
_symmetry_space_group_name_H-M 'C m m 2'
_symmetry_Int_Tables_number 35
_cell_length_a 3.085
_cell_length_b 4.695
_cell_length_c 8.076
_cell_angle_alpha 90.00
_cell_angle_beta 90.00
_cell_angle_gamma 90.00
loop_
_symmetry_equiv_pos_as_xyz
'x,y,z'
'-x,-y,z'
'-x,y,z'
'x,-y,z'
'x+1/2,y+1/2,z'
'-x+1/2,-y+1/2,z'
'-x+1/2,y+1/2,z'
'x+1/2,-y+1/2,z'
loop_
_atom_site_label
_atom_site_fract_x
_atom_site_fract_y
_atom_site_fract_z
Zn1 0.000 0.000 0.000
Si1 0.000 0.000 0.480
Si2 0.000 0.500 0.732
Ru1 0.000 0.500 0.262


(9)
# Zn2SiRu PBE-GGA relaxed
# Uncorrected energy in eV per atom: -4.521
data_Zn2SiRu
_symmetry_space_group_name_H-M 'P 4 m m'
_symmetry_Int_Tables_number 99
_cell_length_a 3.160
_cell_length_b 3.160
_cell_length_c 5.518
_cell_angle_alpha 90.00
_cell_angle_beta 90.00
_cell_angle_gamma 90.00
loop_
_symmetry_equiv_pos_as_xyz
'x,y,z'
'-y,x,z'
'-x,-y,z'
'y,-x,z'
'-x,y,z'
'y,x,z'
'x,-y,z'
'-y,-x,z'
loop_
_atom_site_label
_atom_site_fract_x
_atom_site_fract_y
_atom_site_fract_z
Zn1 0.000 0.000 0.000
Zn2 0.500 0.500 0.232
Si1 0.500 0.500 0.725
Ru1 0.000 0.000 0.520


(10)
# ZnSi2Ru PBE-GGA relaxed
# Uncorrected energy in eV per atom: -5.458
data_ZnSi2Ru
_symmetry_space_group_name_H-M 'P 1 m 1'
_symmetry_Int_Tables_number 6
_cell_length_a 3.056
_cell_length_b 4.224
_cell_length_c 4.737
_cell_angle_alpha 90.00
_cell_angle_beta 108.54
_cell_angle_gamma 90.00
loop_
_symmetry_equiv_pos_as_xyz
'x,y,z'
'x,-y,z'
loop_
_atom_site_label
_atom_site_fract_x
_atom_site_fract_y
_atom_site_fract_z
Zn1 0.000 0.000 0.000
Si1 0.317 0.500 0.647
Si2 0.727 0.000 0.466
Ru1 0.602 0.500 0.212


(11)
# ZnSi2Ru2 PBE-GGA relaxed
# Uncorrected energy in eV per atom: -6.525
data_ZnSi2Ru2
_symmetry_space_group_name_H-M 'P 4/m b m'
_symmetry_Int_Tables_number 127
_symmetry_space_group_name_Hall '-P 4 2ab'
_cell_length_a 6.935
_cell_length_b 6.935
_cell_length_c 2.835
_cell_angle_alpha 90.00
_cell_angle_beta 90.00
_cell_angle_gamma 90.00
loop_
_atom_site_label
_atom_site_fract_x
_atom_site_fract_y
_atom_site_fract_z
Zn1 0.000 0.000 0.000
Si1 0.139 0.361 0.000
Ru1 0.156 0.656 0.500


(12)
# ZnSi3Ru4 PBE-GGA relaxed
# Uncorrected energy in eV per atom: -7.341
data_ZnSi3Ru4
_symmetry_space_group_name_H-M 'P 4/m m m'
_symmetry_Int_Tables_number 123
_symmetry_space_group_name_Hall '-P 4 2'
_cell_length_a 4.162
_cell_length_b 4.162
_cell_length_c 5.947
_cell_angle_alpha 90.00
_cell_angle_beta 90.00
_cell_angle_gamma 90.00
loop_
_atom_site_label
_atom_site_fract_x
_atom_site_fract_y
_atom_site_fract_z
Zn1 0.000 0.000 0.000
Si1 0.000 0.000 0.500
Si2 0.500 0.500 0.000
Si3 0.500 0.500 0.500
Ru1 0.000 0.500 0.259


(13)
# ZnSiRu2 PBE-GGA relaxed
# Uncorrected energy in eV per atom: -6.182
data_ZnSiRu2
_symmetry_space_group_name_H-M 'F -4 3 m'
_symmetry_Int_Tables_number 216
_symmetry_space_group_name_Hall 'F -4 2 3'
_cell_length_a 6.036
_cell_length_b 6.036
_cell_length_c 6.036
_cell_angle_alpha 90.00
_cell_angle_beta 90.00
_cell_angle_gamma 90.00
loop_
_atom_site_label
_atom_site_fract_x
_atom_site_fract_y
_atom_site_fract_z
Zn1 0.000 0.000 0.000
Si1 0.250 0.250 0.750
Ru1 0.000 0.000 0.500
Ru2 0.250 0.250 0.250


(14)
# ZnSi2Ru PBE-GGA relaxed
# Uncorrected energy in eV per atom: -5.364
data_ZnSi2Ru
_symmetry_space_group_name_H-M 'I 4/m m m'
_symmetry_Int_Tables_number 139
_symmetry_space_group_name_Hall '-I 4 2'
_cell_length_a 3.845
_cell_length_b 3.845
_cell_length_c 7.288
_cell_angle_alpha 90.00
_cell_angle_beta 90.00
_cell_angle_gamma 90.00
loop_
_atom_site_label
_atom_site_fract_x
_atom_site_fract_y
_atom_site_fract_z
Zn1 0.000 0.000 0.000
Si1 0.000 0.500 0.250
Ru1 0.000 0.000 0.500


(15)
# ZrSi2Ru PBE-GGA relaxed
# Uncorrected energy in eV per atom: -7.569
data_ZrSi2Ru
_symmetry_space_group_name_H-M 'P 4/m m m'
_symmetry_Int_Tables_number 123
_symmetry_space_group_name_Hall '-P 4 2'
_cell_length_a 4.002
_cell_length_b 4.002
_cell_length_c 3.831
_cell_angle_alpha 90.00
_cell_angle_beta 90.00
_cell_angle_gamma 90.00
loop_
_atom_site_label
_atom_site_fract_x
_atom_site_fract_y
_atom_site_fract_z
Zr1 0.000 0.000 0.000
Si1 0.000 0.500 0.500
Ru1 0.500 0.500 0.000


(16)
# Zr2SiRu PBE-GGA relaxed
# Uncorrected energy in eV per atom: -8.454
data_Zr2SiRu
_symmetry_space_group_name_H-M 'I -4 m 2'
_symmetry_Int_Tables_number 119
_symmetry_space_group_name_Hall 'I -4 -2'
_cell_length_a 3.826
_cell_length_b 3.826
_cell_length_c 9.743
_cell_angle_alpha 90.00
_cell_angle_beta 90.00
_cell_angle_gamma 90.00
loop_
_atom_site_label
_atom_site_fract_x
_atom_site_fract_y
_atom_site_fract_z
Zr1 0.000 0.000 0.000
Zr2 0.000 0.500 0.250
Si1 0.000 0.000 0.500
Ru1 0.000 0.500 0.750


(17)
# Zr2SiRu2 PBE-GGA relaxed
# Polymorph energy (0 for the lowest one) in eV/f.u.: 0.00
data_Zr2SiRu2
_symmetry_space_group_name_H-M 'P 4/m b m'
_symmetry_Int_Tables_number 127
_symmetry_space_group_name_Hall '-P 4 2ab'
_cell_length_a 6.264
_cell_length_b 6.264
_cell_length_c 4.464
_cell_angle_alpha 90.00
_cell_angle_beta 90.00
_cell_angle_gamma 90.00
loop_
_atom_site_label
_atom_site_fract_x
_atom_site_fract_y
_atom_site_fract_z
Zr1 0.179 0.321 0.000
Si1 0.000 0.000 0.500
Ru1 0.143 0.643 0.500


(18)
# ZrSi2Ru PBE-GGA relaxed
# Uncorrected energy in eV per atom: -7.255
data_ZrSi2Ru
_symmetry_space_group_name_H-M 'R 3 m'
_symmetry_Int_Tables_number 160
_symmetry_space_group_name_Hall 'R 3 -2"'
_cell_length_a 3.0097
_cell_length_b 3.0097
_cell_length_c 24.7832
_cell_angle_alpha 90.00
_cell_angle_beta 90.00
_cell_angle_gamma 120.00
loop_
_atom_site_label
_atom_site_fract_x
_atom_site_fract_y
_atom_site_fract_z
Zr1 0.0000 0.0000 0.0000
Si1 0.0000 0.0000 0.2429
Si2 0.0000 0.0000 0.4957
Ru1 0.0000 0.0000 0.7602


(19)
# ZrSi2Ru PBE-GGA relaxed
# Uncorrected energy in eV per atom: -7.674
data_ZrSi2Ru
_symmetry_space_group_name_H-M 'I m m 2'
_symmetry_Int_Tables_number 44
_cell_length_a 3.011
_cell_length_b 3.721
_cell_length_c 11.885
_cell_angle_alpha 90.00
_cell_angle_beta 90.00
_cell_angle_gamma 90.00
loop_
_symmetry_equiv_pos_as_xyz
'x,y,z'
'-x,-y,z'
'-x,y,z'
'x,-y,z'
'x+1/2,y+1/2,z+1/2'
'-x+1/2,-y+1/2,z+1/2'
'-x+1/2,y+1/2,z+1/2'
'x+1/2,-y+1/2,z+1/2'
loop_
_atom_site_label
_atom_site_fract_x
_atom_site_fract_y
_atom_site_fract_z
Zr1 0.000 0.000 0.000
Si1 0.000 0.000 0.395
Si2 0.000 0.500 0.171
Ru1 0.000 0.500 0.736


(20)
# Zr2SiRu PBE-GGA relaxed
# Uncorrected energy in eV per atom: -8.649
data_Zr2SiRu
_symmetry_space_group_name_H-M 'A m m 2'
_symmetry_Int_Tables_number 38
_cell_length_a 3.974
_cell_length_b 3.637
_cell_length_c 10.183
_cell_angle_alpha 90.00
_cell_angle_beta 90.00
_cell_angle_gamma 90.00
loop_
_symmetry_equiv_pos_as_xyz
'x,y,z'
'-x,-y,z'
'-x,y,z'
'x,-y,z'
'x,y+1/2,z+1/2'
'-x,-y+1/2,z+1/2'
'-x,y+1/2,z+1/2'
'x,-y+1/2,z+1/2'
loop_
_atom_site_label
_atom_site_fract_x
_atom_site_fract_y
_atom_site_fract_z
Zr1 0.000 0.000 0.000
Zr2 0.500 0.000 0.287
Si1 0.000 0.000 0.720
Ru1 0.500 0.000 0.558


| no. | total magnetization (μB per formula unit) |
| --- | --- |
| 1 | 0.00 |
| 2 | 0.19 |
| 3 | 1.98 |
| 4 | 0.00 |
| 5 | 0.00 |
| 6 | 0.00 |
| 7 | 0.00 |
| 8 | 0.00 |
| 9 | 0.00 |
| 10 | 0.00 |
| 11 | 0.00 |
| 12 | 0.00 |
| 13 | 0.00 |
| 14 | 0.00 |
| 15 | 0.00 |
| 16 | 0.00 |
| 17 | 0.00 |
| 18 | 0.10 |
| 19 | 0.00 |
| 20 | 0.00 |